A relaxed structure of NaSb3Cl. Source: Alexandria, functional PBE-GGA.

Cell lengths 5.421, 5.421, 5.421 Å; angles 90.00, 90.00, 90.00 degrees
Positions (direct):
Na (0.000, 0.000, 0.000)
Sb (0.000, 0.000, 0.500)
Sb (0.000, 0.500, 0.000)
Sb (0.500, 0.000, 0.000)
Cl (0.500, 0.500, 0.500)

Results
Crystal system: cubic
Magnetization in μB per cell: 0.0
Energy above the most stable polymorph in this dataset in eV/f.u.: 1.315

A relaxed structure of Li2BrCl. Source: Alexandria, functional PBE-GGA.

Cell lengths 4.026, 7.012, 7.026 Å; angles 99.67, 90.00, 106.68 degrees
Positions (direct):
Li (0.000, 0.000, 0.000)
Li (0.236, 0.475, 0.743)
Li (0.482, 0.965, 0.466)
Li (0.745, 0.490, 0.218)
Br (0.429, 0.859, 0.798)
Br (0.674, 0.351, 0.535)
Cl (0.181, 0.363, 0.048)
Cl (0.926, 0.854, 0.289)

Results
Crystal system: triclinic
Magnetization in μB per cell: 0.0
Energy above the most stable polymorph in this dataset in eV/f.u.: 0.003

A relaxed structure of CeLuHgSb. Source: Alexandria, functional PBE-GGA.

Cell lengths 5.317, 5.317, 5.317 Å; angles 60.00, 60.00, 60.00 degrees
Positions (direct):
Ce (0.000, 0.000, 0.000)
Lu (0.500, 0.500, 0.500)
Hg (0.750, 0.750, 0.750)
Sb (0.250, 0.250, 0.250)

Results
Crystal system: cubic
Magnetization in μB per cell: 1.3
Raw total energy in eV/f.u.: -17.03

A relaxed structure of ZrH2Cl4. Source: Alexandria, functional PBE-GGA.

Cell lengths 6.584, 6.584, 6.973 Å; angles 100.71, 100.71, 34.52 degrees
Positions (direct):
Zr (0.000, 0.000, 0.000)
H (0.148, 0.148, 0.151)
H (0.852, 0.852, 0.849)
Cl (0.114, 0.114, 0.352)
Cl (0.389, 0.389, 0.112)
Cl (0.611, 0.611, 0.888)
Cl (0.886, 0.886, 0.648)

Results
Crystal system: monoclinic
Magnetization in μB per cell: 0.0
Raw total energy in eV/f.u.: -27.91

A relaxed structure of CoAsPtBr2. Source: Alexandria, functional PBE-GGA.

Cell lengths 4.860, 4.860, 4.451 Å; angles 90.00, 90.00, 90.00 degrees
Positions (direct):
Co (0.000, 0.000, 0.000)
As (0.000, 0.000, 0.500)
Pt (0.500, 0.500, 0.500)
Br (0.000, 0.500, 0.000)
Br (0.500, 0.000, 0.000)

Results
Crystal system: tetragonal
Magnetization in μB per cell: 0.0
Energy above the most stable polymorph in this dataset in eV/f.u.: 0.000

A relaxed structure of RbTl6Pt6. Source: Alexandria, functional PBE-GGA.

Cell lengths 7.561, 7.561, 7.561 Å; angles 135.68, 98.63, 97.73 degrees
Positions (direct):
Rb (0.000, 0.000, 0.000)
Tl (0.179, 0.679, 0.500)
Tl (0.333, 0.000, 0.333)
Tl (0.344, 0.344, 0.000)
Tl (0.656, 0.656, 0.000)
Tl (0.667, 0.000, 0.667)
Tl (0.821, 0.321, 0.500)
Pt (0.000, 0.000, 0.500)
Pt (0.000, 0.500, 0.000)
Pt (0.233, 0.500, 0.733)
Pt (0.500, 0.000, 0.000)
Pt (0.500, 0.500, 0.500)
Pt (0.767, 0.500, 0.267)

Results
Crystal system: orthorhombic
Magnetization in μB per cell: 0.0
ΔE_f in eV/atom: -0.090

A relaxed structure of Tb4Dy5Y3. Source: Alexandria, functional PBE-GGA.

Cell lengths 8.556, 8.556, 9.305 Å; angles 114.96, 114.96, 40.11 degrees
Positions (direct):
Tb (0.082, 0.082, 0.443)
Tb (0.214, 0.214, 0.879)
Tb (0.786, 0.786, 0.121)
Tb (0.918, 0.918, 0.557)
Dy (0.000, 0.000, 0.000)
Dy (0.327, 0.327, 0.613)
Dy (0.427, 0.427, 0.300)
Dy (0.573, 0.573, 0.700)
Dy (0.673, 0.673, 0.387)
Y (0.209, 0.209, 0.231)
Y (0.500, 0.500, 0.000)
Y (0.791, 0.791, 0.769)

Results
Crystal system: monoclinic
Magnetization in μB per cell: 0.5
Energy above the most stable polymorph in this dataset in eV/f.u.: 2.713
ΔE_f in eV/atom: 0.244

A relaxed structure of LaNdMg. Source: Alexandria, functional PBE-GGA.

Cell lengths 6.798, 6.798, 6.798 Å; angles 125.50, 125.50, 80.71 degrees
Positions (direct):
La (0.000, 0.000, 0.000)
La (0.750, 0.250, 0.500)
Nd (0.397, 0.897, 0.500)
Nd (0.647, 0.647, 0.000)
Mg (0.081, 0.581, 0.500)
Mg (0.331, 0.331, 0.000)

Results
Crystal system: tetragonal
Magnetization in μB per cell: 0.0
Energy above the most stable polymorph in this dataset in eV/f.u.: 0.911
ΔE_f in eV/atom: 0.249

A relaxed structure of Tb2PmHo2Sc. Source: Alexandria, functional PBE-GGA.

Cell lengths 6.890, 5.555, 9.605 Å; angles 90.00, 90.00, 90.00 degrees
Positions (direct):
Tb (0.250, 0.000, 0.166)
Tb (0.250, 0.500, 0.669)
Tb (0.750, 0.000, 0.834)
Tb (0.750, 0.500, 0.331)
Pm (0.000, 0.500, 0.000)
Pm (0.500, 0.500, 0.000)
Ho (0.000, 0.000, 0.500)
Ho (0.250, 0.500, 0.336)
Ho (0.500, 0.000, 0.500)
Ho (0.750, 0.500, 0.664)
Sc (0.250, 0.000, 0.831)
Sc (0.750, 0.000, 0.169)

Results
Crystal system: orthorhombic
Magnetization in μB per cell: 0.0
ΔE_f in eV/atom: 0.075

A relaxed structure of Mn2ZnMo. Source: Alexandria, functional PBE-GGA.

Cell lengths 4.968, 4.968, 2.580 Å; angles 101.75, 101.75, 115.90 degrees
Positions (direct):
Mn (0.000, 0.500, 0.000)
Mn (0.500, 0.000, 0.000)
Zn (0.000, 0.000, 0.500)
Mo (0.500, 0.500, 0.500)

Results
Crystal system: monoclinic
Magnetization in μB per cell: 3.0
ΔE_f in eV/atom: 0.215

A relaxed structure of La3Pr3NdZn2. Source: Alexandria, functional PBE-GGA.

Cell lengths 9.326, 9.326, 3.802 Å; angles 90.00, 90.00, 120.00 degrees
Positions (direct):
La (0.000, 0.383, 0.000)
La (0.383, 0.000, 0.000)
La (0.617, 0.617, 0.000)
Pr (0.000, 0.688, 0.500)
Pr (0.312, 0.312, 0.500)
Pr (0.688, 0.000, 0.500)
Nd (0.000, 0.000, 0.000)
Zn (0.333, 0.667, 0.500)
Zn (0.667, 0.333, 0.500)

Results
Crystal system: hexagonal
Magnetization in μB per cell: 0.0
ΔE_f in eV/atom: -0.037

A relaxed structure of La5ZrSn4. Source: Alexandria, functional PBE-GGA.

Cell lengths 8.925, 8.925, 7.119 Å; angles 92.93, 92.93, 35.47 degrees
Positions (direct):
La (0.000, 0.000, 0.000)
La (0.329, 0.329, 0.494)
La (0.335, 0.335, 0.989)
La (0.665, 0.665, 0.011)
La (0.671, 0.671, 0.506)
Zr (0.000, 0.000, 0.500)
Sn (0.166, 0.166, 0.747)
Sn (0.495, 0.495, 0.723)
Sn (0.505, 0.505, 0.277)
Sn (0.834, 0.834, 0.253)

Results
Crystal system: monoclinic
Magnetization in μB per cell: 0.0
ΔE_f in eV/atom: -0.491

no.,calculated volume (A^3/atom)
1,31.856
2,23.384
3,26.573
4,24.007
5,21.027
6,21.516
7,32.676
8,33.458
9,30.634
10,13.224
11,31.821
12,32.859